# SnSb2O6

A geometry-optimized SnSb2O6 structure (GGA-PBE, Alexandria via LeMat-Bulk).

## Properties
- final energy (eV per atom) = -6.008
- ΔE_f (raw) (meV/atom) = -1342
- DOS at the Fermi energy (states/eV/atom) = 0.296

Cell lengths 4.9307, 4.9307, 10.0085 Å; angles 90.00, 90.00, 90.00 degrees
Sites, in units of the cell vectors:
O1 0.1925 0.8075 0.3346
O2 0.1944 0.8056 0.0000
O3 0.3075 0.3075 0.8346
O4 0.6944 0.6944 0.5000
O5 0.6925 0.6925 0.8346
O6 0.8056 0.1944 0.0000
O7 0.3056 0.3056 0.5000
O8 0.8075 0.1925 0.3346
O9 0.8075 0.1925 0.6654
O10 0.1925 0.8075 0.6654
O11 0.3075 0.3075 0.1654
O12 0.6925 0.6925 0.1654
Sb1 0.5000 0.5000 0.6666
Sb2 0.0000 0.0000 0.8334
Sb3 0.5000 0.5000 0.3334
Sb4 0.0000 0.0000 0.1666
Sn1 0.0000 0.0000 0.5000
Sn2 0.5000 0.5000 0.0000